# 1
## NaMg2ZnF8 (PBE)

Data for a relaxed structure of NaMg2ZnF8.

Lattice parameters (Å, degrees): 4.826 6.334 4.847 90.00 91.06 90.00
Fractional positions:
Na 0.000 0.000 0.000
Mg 0.500 0.256 0.500
Mg 0.500 0.744 0.500
Zn 0.000 0.500 0.000
F 0.206 0.278 0.199
F 0.206 0.722 0.199
F 0.304 0.500 0.690
F 0.321 0.000 0.673
F 0.679 0.000 0.327
F 0.696 0.500 0.310
F 0.794 0.278 0.801
F 0.794 0.722 0.801

Properties
Final energy: -4.506 eV per atom
Total magnetization: 1.1 μB per cell



# 2
## NaMgZnF6 (PBE)

Data for a relaxed structure of NaMgZnF6.

Lattice parameters (Å, degrees): 4.868 4.868 9.591 90.00 90.00 90.00
Fractional positions:
Na 0.000 0.000 0.000
Na 0.500 0.500 0.500
Mg 0.000 0.000 0.669
Mg 0.500 0.500 0.169
Zn 0.000 0.000 0.332
Zn 0.500 0.500 0.832
F 0.177 0.177 0.499
F 0.206 0.206 0.185
F 0.209 0.209 0.816
F 0.291 0.709 0.316
F 0.294 0.706 0.685
F 0.323 0.677 0.999
F 0.677 0.323 0.999
F 0.706 0.294 0.685
F 0.709 0.291 0.316
F 0.791 0.791 0.816
F 0.794 0.794 0.185
F 0.823 0.823 0.499

Properties
Final energy: -4.247 eV per atom
Total magnetization: 2.2 μB per cell



# 3
## Na2MgZnF6 (PBE)

Data for a relaxed structure of Na2MgZnF6.

Lattice parameters (Å, degrees): 5.449 5.625 9.528 90.00 124.80 90.00
Fractional positions:
Na 0.235 0.053 0.250
Na 0.235 0.447 0.750
Na 0.765 0.553 0.250
Na 0.765 0.947 0.750
Mg 0.500 0.000 0.000
Mg 0.500 0.500 0.500
Zn 0.000 0.000 0.500
Zn 0.000 0.500 0.000
F 0.151 0.199 0.948
F 0.151 0.301 0.448
F 0.250 0.706 0.946
F 0.250 0.794 0.446
F 0.355 0.036 0.754
F 0.355 0.464 0.254
F 0.645 0.536 0.746
F 0.645 0.964 0.246
F 0.750 0.206 0.554
F 0.750 0.294 0.054
F 0.849 0.699 0.552
F 0.849 0.801 0.052

Properties
Final energy: -4.551 eV per atom
Total magnetization: 0.0 μB per cell



# 4
## MgNbF2 (PBE)

Data for a relaxed structure of MgNbF2.

Lattice parameters (Å, degrees): 2.998 2.998 21.652 90.00 90.00 120.00
Fractional positions:
Mg 0.000 0.000 0.000
Mg 0.333 0.667 0.667
Mg 0.667 0.333 0.333
Nb 0.000 0.000 0.500
Nb 0.333 0.667 0.167
Nb 0.667 0.333 0.833
F 0.000 0.000 0.379
F 0.000 0.000 0.621
F 0.333 0.667 0.046
F 0.333 0.667 0.288
F 0.667 0.333 0.712
F 0.667 0.333 0.954

Properties
Final energy: -5.773 eV per atom
Total magnetization: 0.0 μB per cell



# 5
## MgNb3F (PBE)

Data for a relaxed structure of MgNb3F.

Lattice parameters (Å, degrees): 4.379 4.379 4.379 90.00 90.00 90.00
Fractional positions:
Mg 0.000 0.000 0.000
Nb 0.000 0.500 0.500
Nb 0.500 0.000 0.500
Nb 0.500 0.500 0.000
F 0.500 0.500 0.500

Properties
Final energy: -6.724 eV per atom
Total magnetization: 0.0 μB per cell



# 6
## MgNbF (PBE)

Data for a relaxed structure of MgNbF.

Lattice parameters (Å, degrees): 2.807 5.772 2.906 90.00 98.75 90.00
Fractional positions:
Mg 0.000 0.000 0.000
Nb 0.500 0.386 0.500
F 0.500 0.721 0.000

Properties
Final energy: -5.552 eV per atom
Total magnetization: 0.0 μB per cell



# 7
## MgNbF (PBE)

Data for a relaxed structure of MgNbF.

Lattice parameters (Å, degrees): 4.647 3.262 6.188 90.00 99.15 90.00
Fractional positions:
Mg 0.000 0.000 0.000
Mg 0.500 0.500 0.000
Nb 0.027 0.500 0.403
Nb 0.527 0.000 0.403
F 0.112 0.500 0.792
F 0.612 0.000 0.792

Properties
Final energy: -5.600 eV per atom
Total magnetization: 0.0 μB per cell



# 8
## MgNbF (PBE)

Data for a relaxed structure of MgNbF.

Lattice parameters (Å, degrees): 3.063 7.734 4.390 90.00 90.00 90.00
Fractional positions:
Mg 0.000 0.156 0.000
Mg 0.500 0.844 0.500
Nb 0.000 0.494 0.491
Nb 0.500 0.506 0.991
F 0.000 0.989 0.357
F 0.500 0.011 0.857

Properties
Final energy: -5.906 eV per atom
Total magnetization: 0.0 μB per cell



# 9
## MgNbF2 (PBE)

Data for a relaxed structure of MgNbF2.

Lattice parameters (Å, degrees): 6.166 6.166 6.166 90.00 90.00 90.00
Fractional positions:
Mg 0.000 0.000 0.000
Mg 0.000 0.500 0.500
Mg 0.500 0.000 0.500
Mg 0.500 0.500 0.000
Nb 0.000 0.000 0.500
Nb 0.000 0.500 0.000
Nb 0.500 0.000 0.000
Nb 0.500 0.500 0.500
F 0.250 0.250 0.250
F 0.250 0.250 0.750
F 0.250 0.750 0.250
F 0.250 0.750 0.750
F 0.750 0.250 0.250
F 0.750 0.250 0.750
F 0.750 0.750 0.250
F 0.750 0.750 0.750

Properties
Final energy: -4.598 eV per atom
Total magnetization: 11.5 μB per cell



# 10
## MgNbF2 (PBE)

Data for a relaxed structure of MgNbF2.

Lattice parameters (Å, degrees): 5.069 5.069 9.499 90.00 90.00 90.00
Fractional positions:
Mg 0.000 0.000 0.000
Mg 0.000 0.500 0.250
Mg 0.500 0.000 0.750
Mg 0.500 0.500 0.500
Nb 0.000 0.000 0.500
Nb 0.000 0.500 0.750
Nb 0.500 0.000 0.250
Nb 0.500 0.500 0.000
F 0.166 0.250 0.125
F 0.250 0.666 0.375
F 0.250 0.834 0.875
F 0.334 0.250 0.625
F 0.666 0.750 0.625
F 0.750 0.166 0.875
F 0.750 0.334 0.375
F 0.834 0.750 0.125

Properties
Final energy: -5.131 eV per atom
Total magnetization: 4.2 μB per cell



# 11
## MgNbF (PBE)

Data for a relaxed structure of MgNbF.

Lattice parameters (Å, degrees): 3.065 15.562 4.387 90.00 90.00 90.00
Fractional positions:
Mg 0.000 0.172 0.000
Mg 0.000 0.828 0.000
Mg 0.500 0.328 0.500
Mg 0.500 0.672 0.500
Nb 0.000 0.000 0.477
Nb 0.000 0.500 0.479
Nb 0.500 0.000 0.979
Nb 0.500 0.500 0.977
F 0.000 0.255 0.357
F 0.000 0.745 0.357
F 0.500 0.245 0.857
F 0.500 0.755 0.857

Properties
Final energy: -5.902 eV per atom
Total magnetization: 0.0 μB per cell



# 12
## Mg3NbF (PBE)

Data for a relaxed structure of Mg3NbF.

Lattice parameters (Å, degrees): 5.574 5.574 5.574 90.00 90.00 90.00
Fractional positions:
Mg 0.000 0.000 0.500
Mg 0.000 0.500 0.000
Mg 0.500 0.000 0.000
Nb 0.000 0.000 0.000
F 0.500 0.500 0.500

Properties
Final energy: -2.572 eV per atom
Total magnetization: 4.0 μB per cell



| no. | uncorrected formation energy (eV per atom) |
| --- | --- |
| 1 | -2.777 |
| 2 | -2.534 |
| 3 | -2.878 |
| 4 | -1.921 |
| 5 | 0.011 |
| 6 | -1.040 |
| 7 | -1.089 |
| 8 | -1.394 |
| 9 | -0.746 |
| 10 | -1.279 |
| 11 | -1.391 |
| 12 | 0.773 |